Record 1
## TcTe2Pt (SCAN)

Data for a crystal of TcTe2Pt relaxed with PBEsol.

Properties
- offset from the most stable computed form (meV per atom) = 0
- formation energy (no corrections) (eV per formula unit) = 0.575

```
data_TcTe2Pt
_chemical_formula_sum 'Tc1 Te2 Pt1'
_cell_length_a 7.995
_cell_length_b 7.995
_cell_length_c 7.995
_cell_angle_alpha 24.42
_cell_angle_beta 24.42
_cell_angle_gamma 24.42
_symmetry_space_group_name_H-M 'P 1'
_symmetry_Int_Tables_number 1
_symmetry_space_group_name_Hall 'P 1'
loop_
_atom_site_label
_atom_site_type_symbol
_atom_site_fract_x
_atom_site_fract_y
_atom_site_fract_z
_atom_site_occupancy
Tc1 Tc 0.000 0.000 0.000 1
Te1 Te 0.251 0.251 0.251 1
Te2 Te 0.749 0.749 0.749 1
Pt1 Pt 0.500 0.500 0.500 1
```


Record 2
## CaCdIN2 (SCAN)

Data for a crystal of CaCdIN2 relaxed with PBEsol.

Properties
- formation energy (no corrections) (eV per formula unit) = 4.469

```
data_CaCdIN2
_chemical_formula_sum 'Ca1 Cd1 I1 N2'
_cell_length_a 4.598
_cell_length_b 4.598
_cell_length_c 6.189
_cell_angle_alpha 90.00
_cell_angle_beta 90.00
_cell_angle_gamma 90.00
_symmetry_space_group_name_H-M 'P 1'
_symmetry_Int_Tables_number 1
_symmetry_space_group_name_Hall 'P 1'
loop_
_atom_site_label
_atom_site_type_symbol
_atom_site_fract_x
_atom_site_fract_y
_atom_site_fract_z
_atom_site_occupancy
Ca1 Ca 0.000 0.000 0.000 1
Cd1 Cd 0.500 0.500 0.500 1
I1 I 0.000 0.000 0.500 1
N1 N 0.000 0.500 0.000 1
N2 N 0.500 0.000 0.000 1
```


Record 3
## BaSrSeBr2 (SCAN)

Data for a crystal of BaSrSeBr2 relaxed with PBEsol.

Properties
- formation energy (no corrections) (eV per formula unit) = -10.035

```
data_BaSrSeBr2
_chemical_formula_sum 'Ba1 Sr1 Se1 Br2'
_cell_length_a 5.629
_cell_length_b 5.629
_cell_length_c 5.879
_cell_angle_alpha 90.00
_cell_angle_beta 90.00
_cell_angle_gamma 90.00
_symmetry_space_group_name_H-M 'P 1'
_symmetry_Int_Tables_number 1
_symmetry_space_group_name_Hall 'P 1'
loop_
_atom_site_label
_atom_site_type_symbol
_atom_site_fract_x
_atom_site_fract_y
_atom_site_fract_z
_atom_site_occupancy
Ba1 Ba 0.000 0.000 0.000 1
Sr1 Sr 0.500 0.500 0.500 1
Se1 Se 0.500 0.500 0.000 1
Br1 Br 0.000 0.500 0.500 1
Br2 Br 0.500 0.000 0.500 1
```


Record 4
## GaSnMo3 (SCAN)

Data for a crystal of GaSnMo3 relaxed with PBEsol.

Properties
- ΔH_f (0 K) (meV per atom) = 2286

```
data_GaSnMo3
_chemical_formula_sum 'Ga1 Sn1 Mo3'
_cell_length_a 4.828
_cell_length_b 4.828
_cell_length_c 4.828
_cell_angle_alpha 90.00
_cell_angle_beta 90.00
_cell_angle_gamma 90.00
_symmetry_space_group_name_H-M 'P 1'
_symmetry_Int_Tables_number 1
_symmetry_space_group_name_Hall 'P 1'
loop_
_atom_site_label
_atom_site_type_symbol
_atom_site_fract_x
_atom_site_fract_y
_atom_site_fract_z
_atom_site_occupancy
Ga1 Ga 0.000 0.000 0.000 1
Sn1 Sn 0.500 0.500 0.500 1
Mo1 Mo 0.000 0.500 0.500 1
Mo2 Mo 0.500 0.000 0.500 1
Mo3 Mo 0.500 0.500 0.000 1
```


Record 5
## CoTcRh2 (SCAN)

Data for a crystal of CoTcRh2 relaxed with PBEsol.

Properties
- ΔH_f (0 K) (meV per atom) = 238
- offset from the most stable computed form (meV per atom) = 177

```
data_CoTcRh2
_chemical_formula_sum 'Co1 Tc1 Rh2'
_cell_length_a 4.197
_cell_length_b 4.197
_cell_length_c 4.197
_cell_angle_alpha 60.00
_cell_angle_beta 60.00
_cell_angle_gamma 60.00
_symmetry_space_group_name_H-M 'P 1'
_symmetry_Int_Tables_number 1
_symmetry_space_group_name_Hall 'P 1'
loop_
_atom_site_label
_atom_site_type_symbol
_atom_site_fract_x
_atom_site_fract_y
_atom_site_fract_z
_atom_site_occupancy
Co1 Co 0.000 0.000 0.000 1
Tc1 Tc 0.250 0.250 0.250 1
Rh1 Rh 0.500 0.500 0.500 1
Rh2 Rh 0.750 0.750 0.750 1
```


Record 6
## CuRh3 (SCAN)

Data for a crystal of CuRh3 relaxed with PBEsol.

Properties
- ΔH_f (0 K) (meV per atom) = 72

```
data_CuRh3
_chemical_formula_sum 'Cu2 Rh6'
_cell_length_a 4.319
_cell_length_b 5.300
_cell_length_c 4.568
_cell_angle_alpha 90.00
_cell_angle_beta 90.00
_cell_angle_gamma 90.00
_symmetry_space_group_name_H-M 'P 1'
_symmetry_Int_Tables_number 1
_symmetry_space_group_name_Hall 'P 1'
loop_
_atom_site_label
_atom_site_type_symbol
_atom_site_fract_x
_atom_site_fract_y
_atom_site_fract_z
_atom_site_occupancy
Cu1 Cu 0.250 0.250 0.168 1
Cu2 Cu 0.750 0.750 0.832 1
Rh1 Rh 0.250 0.504 0.665 1
Rh2 Rh 0.250 0.750 0.158 1
Rh3 Rh 0.250 0.996 0.665 1
Rh4 Rh 0.750 0.004 0.335 1
Rh5 Rh 0.750 0.250 0.842 1
Rh6 Rh 0.750 0.496 0.335 1
```


| no. | electronic total energy (eV/atom) | size of the total moment (μB/f.u.) |
| --- | --- | --- |
| 1 | -44.80 | 0.00 |
| 2 | -18.19 | 4.04 |
| 3 | -26.17 | 0.00 |
| 4 | -29.10 | 0.00 |
| 5 | -29.74 | 2.52 |
| 6 | -29.06 | 0.00 |